Crystalline FeMo2As at its relaxed geometry, computed with PBE-GGA.

Properties
The calculation puts the calculated volume at 177.98 Å³ per cell. The formation energy comes out at 0.31 eV per atom. As for the density of states at the Fermi level: 1.348 states/eV/atom.

Cell and atoms, written as CIF:
```
data_FeMo2As
_cell_length_a 2.8417
_cell_length_b 2.8417
_cell_length_c 25.4495
_cell_angle_alpha 90.00
_cell_angle_beta 90.00
_cell_angle_gamma 120.00
_space_group_name_H-M_alt 'R -3 m'
_space_group_IT_number 166
_space_group_name_Hall '-R 3 2"'
loop_
_atom_site_label
_atom_site_type_symbol
_atom_site_fract_x
_atom_site_fract_y
_atom_site_fract_z
Fe1 Fe 0.0000 0.0000 0.0000
Mo1 Mo 0.0000 0.0000 0.2527
As1 As 0.0000 0.0000 0.5000
```


Crystalline ErHgIr at its relaxed geometry, computed with PBE-GGA.

Properties
The calculation puts the calculated volume at 122.96 Å³ per cell. The formation energy comes out at -0.41 eV per atom. As for the density of states at the Fermi level: 0.586 states/eV/atom.

Cell and atoms, written as CIF:
```
data_ErHgIr
_cell_length_a 3.619
_cell_length_b 3.619
_cell_length_c 9.388
_cell_angle_alpha 90.00
_cell_angle_beta 90.00
_cell_angle_gamma 90.00
_space_group_name_H-M_alt 'I 4 m m'
_space_group_IT_number 107
_space_group_name_Hall 'I 4 -2'
loop_
_atom_site_label
_atom_site_type_symbol
_atom_site_fract_x
_atom_site_fract_y
_atom_site_fract_z
Er1 Er 0.000 0.000 0.000
Hg1 Hg 0.000 0.000 0.685
Ir1 Ir 0.000 0.000 0.358
```